Compound: Ca3SbP
Source: Alexandria
Functional: PBE
Structure: relaxed

Cell: 7.2898 7.2898 10.0115 Å, 90.00 90.00 145.37°
Closest atoms and distances in Å follow each position.
Element x y z (fractional)
1 Ca 0.0893 0.9107 0.7500  2 P 2.79, 2 Sb 3.13
2 Ca 0.3658 0.6342 0.5561  2 P 2.92
3 Ca 0.3658 0.6342 0.9439  2 P 2.92
4 Ca 0.6342 0.3658 0.0561  2 P 2.92
5 Ca 0.6342 0.3658 0.4439  2 P 2.92
6 Ca 0.9107 0.0893 0.2500  2 P 2.79, 2 Sb 3.13
7 Sb 0.2490 0.7510 0.2500  8 Ca 3.13-3.47
8 Sb 0.7510 0.2490 0.7500  8 Ca 3.13-3.47
9 P 0.0000 0.0000 0.0000  6 Ca 2.79-2.92
10 P 0.0000 0.0000 0.5000  6 Ca 2.79-2.92

Results
The space group is Cmcm. The offset from the most stable computed form is 0.030 eV per atom. The value obtained for the uncorrected formation energy is -513 kJ/mol of formula units. As for the raw total energy: -20.86 eV/f.u.

---

Compound: Hg2MoPb
Source: Alexandria
Functional: PBE
Structure: relaxed

Cell: 5.4641 5.4641 3.1884 Å, 90.00 90.00 114.97°
Closest atoms and distances in Å follow each position.
Element x y z (fractional)
1 Hg 0.0000 0.5000 0.0000  4 Hg 2.94-3.19, 4 Pb 3.16, 4 Mo 3.16
2 Hg 0.5000 0.0000 0.0000  4 Hg 2.94-3.19, 4 Pb 3.16, 4 Mo 3.16
3 Mo 0.0000 0.0000 0.5000  2 Pb 2.94, 8 Hg 3.16, 2 Mo 3.19
4 Pb 0.5000 0.5000 0.5000  2 Mo 2.94, 8 Hg 3.16, 2 Pb 3.19

Results
The space group is Cmmm. Its formation energy is 632 meV per atom. As for the raw total energy: -12.62 eV/f.u.

---

Compound: Hf3GaRe2
Source: Alexandria
Functional: PBE
Structure: relaxed

Cell: 3.3407 3.3407 9.6478 Å, 90.00 90.00 90.00°
Closest atoms and distances in Å follow each position.
Element x y z (fractional)
1 Hf 0.0000 0.0000 0.0000  8 Re 2.89, 2 Hf 3.15
2 Hf 0.0000 0.0000 0.3269  4 Re 2.79, 4 Ga 2.89
3 Hf 0.0000 0.0000 0.6731  4 Re 2.79, 4 Ga 2.89
4 Ga 0.5000 0.5000 0.5000  8 Hf 2.89, 2 Re 3.16
5 Re 0.5000 0.5000 0.1725  8 Hf 2.79-2.89
6 Re 0.5000 0.5000 0.8275  8 Hf 2.79-2.89

Results
The space group is P4/mmm. Its formation energy is -445 meV per atom. As for the raw total energy: -60.45 eV/f.u.

---

Compound: Hf4TaSb
Source: Alexandria
Functional: PBE
Structure: relaxed

Cell: 7.6396 7.6396 7.6396 Å, 102.82 102.82 123.79°
Closest atoms and distances in Å follow each position.
Element x y z (fractional)
1 Hf 0.1907 0.0000 0.1907  1 Ta 2.81, 2 Sb 2.86-2.98
2 Hf 0.1977 0.4514 0.2538  2 Ta 2.52-2.58
3 Hf 0.1977 0.9439 0.7462  2 Ta 2.52-2.58
4 Hf 0.2014 0.4477 0.7538  2 Ta 2.52-2.58
5 Hf 0.6939 0.4477 0.2462  2 Ta 2.52-2.58
6 Hf 0.7500 0.0593 0.3093  1 Ta 2.81, 2 Sb 2.86-2.98
7 Hf 0.7500 0.4407 0.6907  1 Ta 2.81, 2 Sb 2.86-2.98
8 Hf 0.8093 0.0000 0.8093  1 Ta 2.81, 2 Sb 2.86-2.98
9 Ta 0.0478 0.5478 0.5000  6 Hf 2.52-2.81
10 Ta 0.2978 0.2978 0.0000  6 Hf 2.52-2.81
11 Sb 0.4439 0.9439 0.5000  1 Ta 2.85, 6 Hf 2.86-2.98
12 Sb 0.6939 0.6939 0.0000  1 Ta 2.85, 6 Hf 2.86-2.98

Results
The space group is I4_1md. The value obtained for the uncorrected formation energy is 390 kJ/mol of formula units. As for the raw total energy: -51.75 eV/f.u.

---

Compound: TmThScIn
Source: Alexandria
Functional: PBE
Structure: relaxed

Cell: 5.3272 5.3272 5.3272 Å, 60.00 60.00 60.00°
Closest atoms and distances in Å follow each position.
Element x y z (fractional)
1 Tm 0.0000 0.0000 0.0000  4 Th 3.26, 4 In 3.26
2 Th 0.7500 0.7500 0.7500  4 Sc 3.26, 4 Tm 3.26
3 Sc 0.5000 0.5000 0.5000  4 In 3.26, 4 Th 3.26
4 In 0.2500 0.2500 0.2500  4 Sc 3.26, 4 Tm 3.26

Results
The space group is F-43m. Its formation energy is -30 meV per atom. As for the raw total energy: -21.08 eV/f.u.

---

Compound: CdRhW2
Source: Alexandria
Functional: PBE
Structure: relaxed

Cell: 3.8548 3.8548 4.3866 Å, 90.00 90.00 90.00°
Closest atoms and distances in Å follow each position.
Element x y z (fractional)
1 Cd 0.0000 0.0000 0.0000  4 Rh 2.73, 8 W 2.92
2 Rh 0.5000 0.5000 0.0000  4 Cd 2.73, 8 W 2.92
3 W 0.0000 0.5000 0.5000  4 W 2.73, 4 Cd 2.92, 4 Rh 2.92
4 W 0.5000 0.0000 0.5000  4 W 2.73, 4 Cd 2.92, 4 Rh 2.92

Results
The space group is P4/mmm. Its formation energy is 395 meV per atom. As for the raw total energy: -32.59 eV/f.u.